[1]
The following is a DFT calculation (PBE-GGA) of crystalline LiSn4P3O12 at its relaxed geometry.

Lattice parameters (Å, degrees): 9.8860 9.8860 10.0264 60.46 60.46 60.00
Atoms (fractional coordinates):
P 0.2702 0.1605 0.8572
P 0.7122 0.2702 0.8572
P 0.2122 0.6605 0.3572
P 0.1605 0.7122 0.8572
P 0.7702 0.2122 0.3572
P 0.6605 0.7702 0.3572
O 0.3082 0.4933 0.3235
O 0.5285 0.3429 0.9510
O 0.0868 0.1655 0.9567
O 0.6655 0.5868 0.4567
O 0.2740 0.3035 0.6917
O 0.9933 0.8082 0.8235
O 0.8035 0.7740 0.1917
O 0.4933 0.8750 0.3235
O 0.2308 0.8035 0.1917
O 0.0285 0.6777 0.4510
O 0.8429 0.0285 0.4510
O 0.3429 0.1777 0.9510
O 0.3035 0.7308 0.6917
O 0.8750 0.3082 0.3235
O 0.7909 0.0868 0.9567
O 0.8082 0.3750 0.8235
O 0.2909 0.6655 0.4567
O 0.7308 0.2740 0.6917
O 0.1655 0.7909 0.9567
O 0.3750 0.9933 0.8235
O 0.5868 0.2909 0.4567
O 0.6777 0.8429 0.4510
O 0.7740 0.2308 0.1917
O 0.1777 0.5285 0.9510
Sn 0.8004 0.8004 0.5987
Sn 0.8990 0.3866 0.4739
Sn 0.3004 0.3004 0.0987
Sn 0.3866 0.2406 0.4739
Sn 0.8866 0.3990 0.9739
Sn 0.7406 0.8866 0.9739
Sn 0.3990 0.7406 0.9739
Sn 0.2406 0.8990 0.4739
Li 0.4863 0.4863 0.5411
Li 0.9863 0.9863 0.0411

Computed properties:
Energy above the most stable polymorph in this dataset   0 meV per atom
E   -6.60 eV/atom
N(E_F)   0.00 states/eV/cell
Total moment   0.00 μB/f.u.
Mass density   3.65 Mg/m³
SG   R3c

[2]
The following is a DFT calculation (PBE-GGA) of crystalline BeCo2As at its relaxed geometry.

Lattice parameters (Å, degrees): 7.0108 7.0108 7.0108 22.72 22.72 22.72
Atoms (fractional coordinates):
Co 0.0055 0.0055 0.0055
Co 0.4945 0.4945 0.4945
As 0.2500 0.2500 0.2500
Be 0.7500 0.7500 0.7500

Computed properties:
Energy above the most stable polymorph in this dataset   288 meV per atom
E   -5.54 eV/atom
N(E_F)   2.72 states/eV/cell
Total moment   0.00 μB/f.u.
Mass density   7.43 Mg/m³
SG   R-3m
DFT formation energy   0.11 eV per atom

[3]
The following is a DFT calculation (PBE-GGA) of crystalline MoIr2Os at its relaxed geometry.

Lattice parameters (Å, degrees): 2.7335 2.7335 7.8865 90.00 90.00 89.99
Atoms (fractional coordinates):
Os 0.5000 0.5000 0.7500
Ir 0.0000 0.0000 0.5056
Ir 0.0000 0.0000 0.9944
Mo 0.5000 0.5000 0.2500

Computed properties:
Energy above the most stable polymorph in this dataset   138 meV per atom
E   -10.04 eV/atom
N(E_F)   4.59 states/eV/cell
Total moment   0.00 μB/f.u.
Mass density   18.90 Mg/m³
SG   P4/mmm
DFT formation energy   -0.09 eV per atom

[4]
The following is a DFT calculation (PBE-GGA) of crystalline AlCuOs3 at its relaxed geometry.

Lattice parameters (Å, degrees): 4.4139 4.4139 4.4139 90.00 90.00 90.00
Last column: magnetic moment on the atom in μB.
Atoms (fractional coordinates):
Cu 0.5000 0.5000 0.5000  0.13
Al 0.0000 0.0000 0.0000  -0.01
Os 0.0000 0.5000 0.0000  0.46
Os 0.5000 0.0000 0.0000  0.51
Os 0.0000 0.0000 0.5000  0.32

Computed properties:
Energy above the most stable polymorph in this dataset   0 meV per atom
E   -6.43 eV/atom
N(E_F)   7.21 states/eV/cell
Total moment   1.42 μB/f.u.
Mass density   12.77 Mg/m³
SG   Pm-3m
DFT formation energy   1.88 eV per atom

[5]
The following is a DFT calculation (PBE-GGA) of crystalline CdIr at its relaxed geometry.

Lattice parameters (Å, degrees): 2.8757 2.8757 9.7629 81.53 81.53 60.00
Atoms (fractional coordinates):
Cd 0.9940 0.9940 0.0180
Cd 0.7560 0.7560 0.7320
Ir 0.5057 0.5057 0.4830
Ir 0.2443 0.2443 0.2670

Computed properties:
E   -4.69 eV/atom
N(E_F)   1.96 states/eV/cell
Total moment   0.00 μB/f.u.
Mass density   14.68 Mg/m³
SG   R-3m
DFT formation energy   0.20 eV per atom

[6]
The following is a DFT calculation (PBE-GGA) of crystalline KMgCr2 at its relaxed geometry.

Lattice parameters (Å, degrees): 3.1970 5.9466 6.5994 53.68 90.00 90.00
Last column: magnetic moment on the atom in μB.
Atoms (fractional coordinates):
Mg 0.0000 0.0000 0.5000  -0.03
Cr 0.0000 0.0000 0.0000  3.99
Cr 0.5000 0.5000 0.0000  3.88
K 0.5000 0.5000 0.5000  0.02

Computed properties:
E   -4.35 eV/atom
N(E_F)   2.84 states/eV/cell
Total moment   9.08 μB/f.u.
Mass density   2.75 Mg/m³
SG   P2/m
DFT formation energy   1.14 eV per atom

[7]
The following is a DFT calculation (PBE-GGA) of crystalline LaPrMgAg at its relaxed geometry.

Lattice parameters (Å, degrees): 5.4833 5.4833 5.4833 60.00 60.00 60.00
Atoms (fractional coordinates):
Pr 0.5000 0.5000 0.5000
Ag 0.2500 0.2500 0.2500
Mg 0.7500 0.7500 0.7500
La 0.0000 0.0000 0.0000

Computed properties:
Energy above the most stable polymorph in this dataset   48 meV per atom
E   -3.67 eV/atom
N(E_F)   5.04 states/eV/cell
Total moment   0.01 μB/f.u.
Mass density   5.87 Mg/m³
SG   F-43m
DFT formation energy   -0.13 eV per atom

[8]
The following is a DFT calculation (PBE-GGA) of crystalline ZrSc2Br at its relaxed geometry.

Lattice parameters (Å, degrees): 5.7181 5.7181 5.7181 135.41 135.41 64.89
Atoms (fractional coordinates):
Zr 0.2500 0.7500 0.5000
Br 0.7500 0.2500 0.5000
Sc 0.0000 0.0000 0.0000
Sc 0.5000 0.5000 0.0000

Computed properties:
Energy above the most stable polymorph in this dataset   584 meV per atom
E   -5.60 eV/atom
N(E_F)   7.29 states/eV/cell
Total moment   0.00 μB/f.u.
Mass density   4.77 Mg/m³
SG   I4/mmm

[9]
The following is a DFT calculation (PBE-GGA) of crystalline BeZnSn at its relaxed geometry.

Lattice parameters (Å, degrees): 7.0099 4.3202 4.1767 61.10 90.01 79.05
Atoms (fractional coordinates):
Sn 0.0047 0.2046 0.5000
Sn 0.4474 0.3946 0.9047
Be 0.5833 0.7051 0.2494
Be 0.8683 0.8956 0.1546
Zn 0.2262 0.7991 0.2026
Zn 0.7274 0.7957 0.7043

Computed properties:
E   -2.79 eV/atom
N(E_F)   1.75 states/eV/cell
Total moment   0.00 μB/f.u.
Mass density   5.93 Mg/m³
SG   Cm
DFT formation energy   0.21 eV per atom

[10]
The following is a DFT calculation (PBE-GGA) of crystalline LiPu2Ga6Si at its relaxed geometry.

Lattice parameters (Å, degrees): 6.3318 6.3318 11.9054 74.58 74.58 60.00
Last column: magnetic moment on the atom in μB.
Atoms (fractional coordinates):
Pu 0.7115 0.7115 0.8655  5.42
Pu 0.1137 0.1137 0.6589  5.43
Pu 0.8863 0.8863 0.3411  5.43
Pu 0.2885 0.2885 0.1345  5.42
Ga 0.7763 0.7763 0.1102  0.03
Ga 0.9322 0.3364 0.3950  0.00
Ga 0.6628 0.2237 0.8898  0.03
Ga 0.3364 0.9322 0.3950  0.00
Ga 0.6636 0.0678 0.6050  0.00
Ga 0.2237 0.2237 0.8898  0.03
Ga 0.0678 0.6636 0.6050  0.00
Ga 0.6636 0.6636 0.6050  0.00
Ga 0.3372 0.7763 0.1102  0.03
Ga 0.3364 0.3364 0.3950  0.00
Ga 0.7763 0.3372 0.1102  0.03
Ga 0.2237 0.6628 0.8898  0.03
Li 0.0000 0.0000 0.0000  -0.03
Li 0.5000 0.5000 0.5000  -0.02
Si 0.5716 0.5716 0.2851  0.01
Si 0.4284 0.4284 0.7149  0.01

Computed properties:
E   -5.53 eV/atom
N(E_F)   44.14 states/eV/cell
Total moment   11.80 μB/f.u.
Mass density   7.95 Mg/m³
SG   R-3m

[11]
The following is a DFT calculation (PBE-GGA) of crystalline Rb3LiTe at its relaxed geometry.

Lattice parameters (Å, degrees): 7.0553 7.0553 7.0553 90.00 90.00 90.00
Atoms (fractional coordinates):
Rb 0.0000 0.0000 0.5000
Rb 0.0000 0.5000 0.0000
Rb 0.5000 0.0000 0.0000
Te 0.0000 0.0000 0.0000
Li 0.5000 0.5000 0.5000

Computed properties:
Energy above the most stable polymorph in this dataset   0 meV per atom
E   -1.98 eV/atom
N(E_F)   0.00 states/eV/cell
Total moment   0.00 μB/f.u.
Mass density   1.85 Mg/m³
SG   Pm-3m

[12]
The following is a DFT calculation (PBE-GGA) of crystalline Pr8P3IrCl4 at its relaxed geometry.

Lattice parameters (Å, degrees): 8.4079 8.5133 8.4076 119.59 120.00 90.00
Atoms (fractional coordinates):
Cl 0.0000 0.0000 0.0000
Cl 0.0000 0.0000 0.5000
Cl 0.5000 0.0000 0.5000
Cl 0.5000 0.0000 0.0000
P 0.5000 0.5000 0.0000
P 0.0000 0.5000 0.5000
P 0.5000 0.5000 0.5000
Pr 0.2603 0.2810 0.5207
Pr 0.2371 0.7175 0.9804
Pr 0.7397 0.7190 0.4793
Pr 0.7629 0.2825 0.0196
Pr 0.7629 0.2825 0.5258
Pr 0.2566 0.2825 0.0196
Pr 0.2371 0.7175 0.4742
Pr 0.7434 0.7175 0.9804
Ir 0.0000 0.5000 0.0000

Computed properties:
E   -5.89 eV/atom
N(E_F)   7.16 states/eV/cell
Total moment   0.00 μB/f.u.
Mass density   6.03 Mg/m³
SG   R-3m